(1)
ZnAg2Os | PBE-GGA | optimized geometry

abc: 2.7053 4.0875 5.8113
angles: 90.00 90.00 90.00
Last column: nearest neighbours and their distance in Å.
Element x y z (fractional)
Zn: 0.0000 0.0000 0.0000  2 Zn 2.71, 5 Ag 2.72-2.93, 4 Os 2.72
Ag: 0.0000 0.0000 0.5325  6 Ag 2.71-2.86, 1 Zn 2.72, 4 Os 2.89
Ag: 0.5000 0.5000 0.2776  6 Ag 2.71-2.86, 2 Os 2.79-3.02, 4 Zn 2.93
Os: 0.5000 0.5000 0.7968  2 Os 2.71, 4 Zn 2.72, 6 Ag 2.79-3.02

Space-group type: Pmm2
Theoretical density (Mg/m³): 12.18
Total energy (eV per atom): -4.13
Formation energy from the elements (eV per atom): 0.422

***

(2)
TlIr2W | PBE-GGA | optimized geometry

abc: 2.8644 2.8644 9.6037
angles: 90.00 90.00 119.18
Last column: nearest neighbours and their distance in Å.
Element x y z (fractional)
Tl: 0.0000 0.0000 0.0000  2 Ir 2.84, 6 Tl 2.86-2.90, 2 W 3.02
Ir: 0.0000 0.0000 0.5036  2 W 2.63, 8 Ir 2.74-2.90
Ir: 0.5000 0.5000 0.7462  8 Ir 2.74-2.90, 2 Tl 2.84
W: 0.5000 0.5000 0.2755  2 Ir 2.63, 6 W 2.86-2.90

Space-group type: Cmm2
Theoretical density (Mg/m³): 18.65
Total energy (eV per atom): -7.58
Formation energy from the elements (eV per atom): 0.679

***

(3)
Ac3TiTl3S8 | PBE-GGA | optimized geometry

abc: 8.9491 8.9491 8.9491
angles: 56.50 56.50 56.50
Last column: nearest neighbours and their distance in Å.
Element x y z (fractional)
Ac: 0.0000 0.5000 0.5000  6 S 2.94-3.00
Ac: 0.5000 0.0000 0.5000  6 S 2.94-3.00
Ac: 0.5000 0.5000 0.0000  6 S 2.94-3.00
Ti: 0.0000 0.0000 0.0000  6 S 2.53
Tl: 0.0000 0.0000 0.5000  6 S 3.24-3.26
Tl: 0.0000 0.5000 0.0000  6 S 3.24-3.26
Tl: 0.5000 0.0000 0.0000  6 S 3.24-3.26
S: 0.2056 0.2056 0.7781  1 Ti 2.53
S: 0.2056 0.7781 0.2056  1 Ti 2.53
S: 0.2219 0.7944 0.7944  1 Ti 2.53
S: 0.2611 0.2611 0.2611  3 Ac 2.94, 3 Tl 3.24
S: 0.7389 0.7389 0.7389  3 Ac 2.94, 3 Tl 3.24
S: 0.7781 0.2056 0.2056  1 Ti 2.53
S: 0.7944 0.2219 0.7944  1 Ti 2.53
S: 0.7944 0.7944 0.2219  1 Ti 2.53

Space-group type: R-3m
Theoretical density (Mg/m³): 5.70
Total energy (eV per atom): -5.42
E_form (uncorrected) (eV/atom): -1.40